# K2CoOs

Crystalline K2CoOs at its relaxed geometry (GGA-PBE, the Alexandria database).

Structure (CIF):
```
data_K2CoOs
_space_group_name_H-M_alt 'F m -3 m'
_space_group_IT_number 225
_space_group_name_Hall '-F 4 2 3'
_cell_length_a 7.7430
_cell_length_b 7.7430
_cell_length_c 7.7430
_cell_angle_alpha 90.00
_cell_angle_beta 90.00
_cell_angle_gamma 90.00
loop_
_atom_site_label
_atom_site_type_symbol
_atom_site_fract_x
_atom_site_fract_y
_atom_site_fract_z
K1 K 0.2500 0.2500 0.2500
Co1 Co 0.0000 0.0000 0.0000
Os1 Os 0.0000 0.0000 0.5000
```

Summary:
- E_tot (eV per atom) = -3.098
- energy of formation (eV/atom) = 2.035
- calculated volume (Å³/atom) = 29.01
- distance to the lowest polymorph of the same formula (eV per formula unit) = 5.141